Below is a relaxed Cd2HRu crystal, with properties calculated at the PBE level.

Structure (POSCAR):
```
Cd2HRu
1.0
-4.807 4.807 1.626
4.807 -4.807 1.626
4.807 4.807 -1.626
Cd H Ru
4 2 2
direct
0.000 0.000 0.000
0.000 0.000 0.500
0.000 0.500 0.000
0.500 0.000 0.500
0.125 0.875 0.250
0.875 0.125 0.750
0.375 0.625 0.750
0.625 0.375 0.250
```

Computed properties:
* symmetry: I4_1/amd, No. 141
* total magnetic moment: 0.00 μB/atom
* raw total energy: -3.2743 eV/atom

Below is a relaxed Cd2HRu2 crystal, with properties calculated at the PBE level.

Structure (POSCAR):
```
Cd2HRu2
1.0
5.503 0.000 0.000
0.000 5.503 0.000
0.000 0.000 4.834
Cd H Ru
4 2 4
direct
0.174 0.326 0.000
0.326 0.826 0.000
0.674 0.174 0.000
0.826 0.674 0.000
0.000 0.000 0.500
0.500 0.500 0.500
0.164 0.664 0.500
0.336 0.164 0.500
0.664 0.836 0.500
0.836 0.336 0.500
```

Computed properties:
* symmetry: P4/mbm, No. 127
* total magnetic moment: 0.19 μB/atom
* raw total energy: -4.3683 eV/atom

Below is a relaxed CdH2Ru2 crystal, with properties calculated at the PBE level.

Structure (POSCAR):
```
CdH2Ru2
1.0
-1.762 1.762 4.308
1.762 -1.762 4.308
1.762 1.762 -4.308
Cd H Ru
1 2 2
direct
0.000 0.000 0.000
0.250 0.750 0.500
0.750 0.250 0.500
0.331 0.331 0.000
0.669 0.669 0.000
```

Computed properties:
* symmetry: I4/mmm, No. 139
* total magnetic moment: 0.00 μB/atom
* raw total energy: -4.9786 eV/atom

Below is a relaxed CdHRu2 crystal, with properties calculated at the PBE level.

Structure (POSCAR):
```
CdHRu2
1.0
-2.484 2.484 4.722
2.484 -2.484 4.722
2.484 2.484 -4.722
Cd H Ru
2 2 4
direct
0.375 0.625 0.750
0.625 0.375 0.250
0.125 0.875 0.250
0.875 0.125 0.750
0.000 0.000 0.000
0.000 0.000 0.500
0.000 0.500 0.000
0.500 0.000 0.500
```

Computed properties:
* symmetry: I4_1/amd, No. 141
* total magnetic moment: 0.00 μB/atom
* raw total energy: -5.1507 eV/atom

Below is a relaxed Cd2HRu crystal, with properties calculated at the PBE level.

Structure (POSCAR):
```
Cd2HRu
1.0
0.000 3.212 3.212
3.212 0.000 3.212
3.212 3.212 0.000
Cd H Ru
2 1 1
direct
0.250 0.250 0.250
0.750 0.750 0.750
0.000 0.000 0.000
0.500 0.500 0.500
```

Computed properties:
* symmetry: Fm-3m, No. 225
* total magnetic moment: 0.25 μB/atom
* raw total energy: -2.6835 eV/atom

Below is a relaxed Cd2SiHRu crystal, with properties calculated at the PBE level.

Structure (POSCAR):
```
Cd2SiHRu
1.0
4.054 0.000 0.000
0.000 4.054 0.000
0.000 0.000 4.386
Cd Si H Ru
2 1 1 1
direct
0.000 0.500 0.000
0.500 0.000 0.000
0.000 0.000 0.500
0.000 0.000 0.000
0.500 0.500 0.500
```

Computed properties:
* symmetry: P4/mmm, No. 123
* total magnetic moment: 0.00 μB/atom
* raw total energy: -3.4459 eV/atom

Below is a relaxed SrCdH6Ru crystal, with properties calculated at the PBE level.

Structure (POSCAR):
```
SrCdH6Ru
1.0
4.943 0.000 0.000
-2.471 4.280 0.000
0.000 0.000 5.022
Sr Cd H Ru
1 1 6 1
direct
0.000 0.000 0.000
0.333 0.667 0.500
0.409 0.068 0.720
0.409 0.341 0.280
0.659 0.068 0.280
0.659 0.591 0.720
0.932 0.341 0.720
0.932 0.591 0.280
0.667 0.333 0.500
```

Computed properties:
* symmetry: P312, No. 149
* total magnetic moment: 0.00 μB/atom
* raw total energy: -3.7889 eV/atom

Below is a relaxed Sr2CdH6Ru crystal, with properties calculated at the PBE level.

Structure (POSCAR):
```
Sr2CdH6Ru
1.0
5.111 0.000 0.000
-2.556 4.426 0.000
0.000 0.000 7.554
Sr Cd H Ru
2 1 6 1
direct
0.333 0.667 0.156
0.667 0.333 0.844
0.000 0.000 0.500
0.160 0.321 0.870
0.160 0.840 0.870
0.321 0.160 0.130
0.679 0.840 0.870
0.840 0.160 0.130
0.840 0.679 0.130
0.000 0.000 0.000
```

Computed properties:
* symmetry: P-3m1, No. 164
* total magnetic moment: 0.00 μB/atom
* raw total energy: -3.7320 eV/atom